1.
DFT (PBE) results for a geometry-optimized CdSnAs2 structure.

abc: 5.029 5.029 5.029
angles: 60.00 60.00 60.00
Fractional coordinates of all 4 atoms:
Cd: 0.000 0.000 0.000
Sn: 0.500 0.500 0.500
As: 0.250 0.250 0.250
As: 0.750 0.750 0.750

Properties
Symmetry = Fm-3m (225)
Relative energy among the computed polymorphs = 355 meV per atom
ΔE_f = 0.2167 eV per atom

---

2.
DFT (PBE) results for a geometry-optimized MnSnCl2 structure.

abc: 6.423 6.423 6.423
angles: 102.40 102.40 124.80
Fractional coordinates of all 8 atoms:
Mn: 0.000 0.000 0.000
Mn: 0.750 0.250 0.500
Sn: 0.250 0.750 0.500
Sn: 0.500 0.500 0.000
Cl: 0.015 0.125 0.390
Cl: 0.375 0.985 0.110
Cl: 0.735 0.625 0.610
Cl: 0.875 0.265 0.890

Properties
Symmetry = I-42d (122)
Relative energy among the computed polymorphs = 0 meV per atom
Formation energy (no corrections) = -1.252 eV per formula unit

---

3.
DFT (PBE) results for a geometry-optimized MnNi2Bi structure.

abc: 9.105 9.105 9.105
angles: 154.88 154.88 35.83
Fractional coordinates of all 8 atoms:
Mn: 0.000 0.000 0.000
Mn: 0.750 0.250 0.500
Ni: 0.078 0.625 0.953
Ni: 0.375 0.328 0.453
Ni: 0.672 0.125 0.047
Ni: 0.875 0.922 0.547
Bi: 0.250 0.750 0.500
Bi: 0.500 0.500 0.000

Properties
Symmetry = I-42d (122)
ΔE_f = 0.4606 eV per atom

---

no.,calculated density (g/cm³),spin magnetization (μB/f.u.)
1,7.03,0.00
2,4.21,3.18
3,9.32,3.80